The following is a DFT calculation (meta-GGA SCAN) of CoH8SO8 at its PBEsol-relaxed geometry.

Lattice parameters (Å, degrees): 5.906 13.244 9.603 90.00 126.13 90.00
Element x y z (fractional)
Co 0.198 0.104 0.277
Co 0.198 0.396 0.777
Co 0.802 0.604 0.223
Co 0.802 0.896 0.723
H 0.011 0.097 0.942
H 0.011 0.403 0.442
H 0.106 0.735 0.787
H 0.106 0.765 0.287
H 0.201 0.192 0.783
H 0.201 0.308 0.283
H 0.236 0.188 0.043
H 0.236 0.312 0.543
H 0.264 0.579 0.053
H 0.264 0.921 0.553
H 0.280 0.511 0.324
H 0.280 0.989 0.824
H 0.346 0.588 0.473
H 0.346 0.912 0.973
H 0.352 0.681 0.165
H 0.352 0.819 0.665
H 0.648 0.181 0.335
H 0.648 0.319 0.835
H 0.654 0.088 0.027
H 0.654 0.412 0.527
H 0.720 0.011 0.176
H 0.720 0.489 0.676
H 0.736 0.079 0.447
H 0.736 0.421 0.947
H 0.764 0.688 0.457
H 0.764 0.812 0.957
H 0.799 0.692 0.717
H 0.799 0.808 0.217
H 0.894 0.235 0.713
H 0.894 0.265 0.213
H 0.989 0.597 0.558
H 0.989 0.903 0.058
S 0.488 0.110 0.681
S 0.488 0.390 0.181
S 0.512 0.610 0.819
S 0.512 0.890 0.319
O 0.097 0.250 0.290
O 0.097 0.250 0.790
O 0.162 0.126 0.058
O 0.162 0.374 0.558
O 0.219 0.575 0.347
O 0.219 0.925 0.847
O 0.247 0.552 0.748
O 0.247 0.948 0.248
O 0.260 0.068 0.510
O 0.260 0.432 0.010
O 0.378 0.641 0.089
O 0.378 0.859 0.589
O 0.403 0.098 0.800
O 0.403 0.402 0.300
O 0.461 0.718 0.829
O 0.461 0.782 0.329
O 0.539 0.218 0.671
O 0.539 0.282 0.171
O 0.597 0.598 0.700
O 0.597 0.902 0.200
O 0.622 0.141 0.411
O 0.622 0.359 0.911
O 0.740 0.568 0.990
O 0.740 0.932 0.490
O 0.753 0.052 0.752
O 0.753 0.448 0.252
O 0.781 0.075 0.153
O 0.781 0.425 0.653
O 0.838 0.626 0.442
O 0.838 0.874 0.942
O 0.903 0.750 0.210
O 0.903 0.750 0.710

Calculated values
**Calculated volume**: 8.43 Å³/atom
**Total moment**: 12.000 μB/cell
**Theoretical density**: 2.486 g/cm3
**Symmetry**: P2_1/c (14)
**VASP energy**: -7.021 eV/atom
**Crystal system**: monoclinic

=====

The following is a DFT calculation (meta-GGA SCAN) of CoH2SO5 at its PBEsol-relaxed geometry.

Lattice parameters (Å, degrees): 5.129 5.129 7.395 106.99 106.99 97.84
Element x y z (fractional)
Co 0.000 0.500 0.000
Co 0.500 0.000 0.500
H 0.049 0.135 0.704
H 0.135 0.049 0.204
H 0.865 0.951 0.796
H 0.951 0.865 0.296
S 0.413 0.587 0.750
S 0.587 0.413 0.250
O 0.118 0.882 0.250
O 0.272 0.323 0.158
O 0.290 0.681 0.907
O 0.319 0.710 0.593
O 0.323 0.272 0.658
O 0.677 0.728 0.342
O 0.681 0.290 0.407
O 0.710 0.319 0.093
O 0.728 0.677 0.842
O 0.882 0.118 0.750

Calculated values
**Calculated volume**: 9.59 Å³/atom
**Total moment**: 2.000 μB/cell
**Theoretical density**: 3.328 g/cm3
**Symmetry**: C2/c (15)
**VASP energy**: -8.568 eV/atom
**Crystal system**: monoclinic